# 1
This record from Alexandria describes MnReN2F after structural relaxation. The functional is PBE+U.

Summary:
As for the final energy: -7.7389 eV/atom. The calculation puts the density at 7.6 g/cm3. The calculation puts the distance to the lowest polymorph of the same formula at 0.0 kJ/mol of atoms. The value obtained for the total magnetization is 4.95 μB per cell.

```
data_MnReN2F
_chemical_formula_sum 'Mn1 Re1 N2 F1'
_cell_length_a 3.9045
_cell_length_b 3.9045
_cell_length_c 4.1437
_cell_angle_alpha 90.00
_cell_angle_beta 90.00
_cell_angle_gamma 90.00
_space_group_name_H-M_alt 'P 4/m m m'
_space_group_IT_number 123
_space_group_name_Hall '-P 4 2'
loop_
_atom_site_label
_atom_site_fract_x
_atom_site_fract_y
_atom_site_fract_z
Mn1 0.0000 0.0000 0.0000
Re1 0.5000 0.5000 0.5000
N1 0.0000 0.5000 0.5000
F1 0.5000 0.5000 0.0000
```

# 2
This record from Alexandria describes MnRhNF2 after structural relaxation. The functional is PBE+U.

Summary:
As for the final energy: -5.7870 eV/atom. The calculation puts the density at 4.9 g/cm3. The calculation puts the distance to the lowest polymorph of the same formula at 0.0 kJ/mol of atoms. The value obtained for the total magnetization is 5.03 μB per cell.

```
data_MnRhNF2
_chemical_formula_sum 'Mn1 Rh1 N1 F2'
_cell_length_a 4.3984
_cell_length_b 4.3984
_cell_length_c 3.6972
_cell_angle_alpha 90.00
_cell_angle_beta 90.00
_cell_angle_gamma 90.00
_space_group_name_H-M_alt 'P 4/m m m'
_space_group_IT_number 123
_space_group_name_Hall '-P 4 2'
loop_
_atom_site_label
_atom_site_fract_x
_atom_site_fract_y
_atom_site_fract_z
Mn1 0.0000 0.0000 0.0000
Rh1 0.5000 0.5000 0.5000
N1 0.5000 0.5000 0.0000
F1 0.0000 0.5000 0.5000
```

# 3
This record from Alexandria describes MnRhNF2 after structural relaxation. The functional is PBE+U.

Summary:
As for the final energy: -5.6021 eV/atom. The calculation puts the density at 5.5 g/cm3. The calculation puts the distance to the lowest polymorph of the same formula at 17.8 kJ/mol of atoms. The value obtained for the total magnetization is 5.53 μB per cell.

```
data_MnRhNF2
_chemical_formula_sum 'Mn1 Rh1 N1 F2'
_cell_length_a 3.8305
_cell_length_b 3.8305
_cell_length_c 4.2878
_cell_angle_alpha 90.00
_cell_angle_beta 90.00
_cell_angle_gamma 90.00
_space_group_name_H-M_alt 'P 4/m m m'
_space_group_IT_number 123
_space_group_name_Hall '-P 4 2'
loop_
_atom_site_label
_atom_site_fract_x
_atom_site_fract_y
_atom_site_fract_z
Mn1 0.0000 0.0000 0.0000
Rh1 0.5000 0.5000 0.5000
N1 0.0000 0.0000 0.5000
F1 0.0000 0.5000 0.0000
```